Ba4Hg2Cl: relaxed, PBE-GGA.

## Properties
* calculated volume: 45.02 A^3/atom
* total moment: 0.53 μB per formula unit
* D(E_F): 12.2 states/eV/f.u.
* total energy: -30.25 eV per cell

a b c (Å): 6.136 6.136 16.743
angles (deg): 90.00 90.00 90.00
Space group I4/mmm (No. 139)
One atom of each set of equivalent atoms:
Ba (0.000, 0.000, 0.198) x4
Ba (0.000, 0.500, 0.000) x4
Hg (0.000, 0.000, 0.396) x4
Cl (0.000, 0.000, 0.000) x2